Record 1
Entry from Alexandria: a PBEsol-optimized structure of Cr2CdNiF (SCAN).

## Properties
uncorrected energy	-82.2	eV/cell
symmetry	No. 123

Cell lengths 4.590, 5.094, 5.094 Å; angles 90.00, 90.00, 90.00 degrees
Fractional positions:
Cr (0.000, 0.500, 0.000)
Cr (0.000, 0.000, 0.500)
Ni (0.500, 0.000, 0.000)
F (0.500, 0.500, 0.500)
Cd (0.000, 0.000, 0.000)

---

Record 2
Entry from Alexandria: a PBEsol-optimized structure of MnPRh2 (SCAN).

## Properties
uncorrected energy	-97.3	eV/cell
energy of formation from the pure elements	-0.280	eV per atom
symmetry	No. 119

Cell lengths 3.660, 3.660, 4.540 Å; angles 113.77, 113.77, 90.00 degrees
Fractional positions:
P (0.250, 0.750, 0.500)
Mn (0.500, 0.500, 0.000)
Rh (0.750, 0.250, 0.500)
Rh (0.000, 0.000, 0.000)

---

Record 3
Entry from Alexandria: a PBEsol-optimized structure of Dy5Bi3 (SCAN).

## Properties
uncorrected energy	-1924.4	eV/cell
energy of formation from the pure elements	-0.799	eV per atom
symmetry	No. 62

Cell lengths 8.136, 9.383, 11.832 Å; angles 90.00, 90.00, 90.00 degrees
Fractional positions:
Dy (0.690, 0.939, 0.437)
Dy (0.672, 0.250, 0.727)
Dy (0.828, 0.250, 0.227)
Dy (0.161, 0.250, 0.789)
Dy (0.520, 0.250, 0.004)
Dy (0.661, 0.750, 0.711)
Dy (0.190, 0.061, 0.063)
Dy (0.328, 0.750, 0.273)
Dy (0.810, 0.561, 0.937)
Dy (0.310, 0.061, 0.563)
Dy (0.810, 0.939, 0.937)
Dy (0.339, 0.250, 0.289)
Dy (0.190, 0.439, 0.063)
Dy (0.980, 0.250, 0.504)
Dy (0.690, 0.561, 0.437)
Dy (0.480, 0.750, 0.996)
Dy (0.310, 0.439, 0.563)
Dy (0.172, 0.750, 0.773)
Dy (0.020, 0.750, 0.496)
Dy (0.839, 0.750, 0.211)
Bi (0.601, 0.250, 0.471)
Bi (0.937, 0.993, 0.675)
Bi (0.399, 0.750, 0.529)
Bi (0.063, 0.007, 0.325)
Bi (0.937, 0.507, 0.675)
Bi (0.899, 0.250, 0.971)
Bi (0.563, 0.507, 0.175)
Bi (0.101, 0.750, 0.029)
Bi (0.563, 0.993, 0.175)
Bi (0.063, 0.493, 0.325)
Bi (0.437, 0.007, 0.825)
Bi (0.437, 0.493, 0.825)

---

Record 4
Entry from Alexandria: a PBEsol-optimized structure of Mg2CoP2 (SCAN).

## Properties
uncorrected energy	-99.9	eV/cell
energy of formation from the pure elements	-0.381	eV per atom
symmetry	No. 127

Cell lengths 4.391, 5.749, 5.749 Å; angles 90.00, 90.00, 90.00 degrees
Fractional positions:
Mg (0.500, 0.317, 0.183)
Mg (0.500, 0.683, 0.817)
Mg (0.500, 0.817, 0.317)
Mg (0.500, 0.183, 0.683)
P (0.000, 0.638, 0.138)
P (0.000, 0.362, 0.862)
P (0.000, 0.862, 0.638)
P (0.000, 0.138, 0.362)
Co (0.000, 0.500, 0.500)
Co (0.000, 0.000, 0.000)

---

Record 5
Entry from Alexandria: a PBEsol-optimized structure of Na2CaVP2O9 (SCAN).

## Properties
uncorrected energy	-615.2	eV/cell
symmetry	No. 62

Cell lengths 6.551, 10.062, 10.505 Å; angles 90.00, 90.00, 90.00 degrees
Fractional positions:
O (0.750, 0.983, 0.591)
O (0.563, 0.512, 0.623)
O (0.437, 0.012, 0.877)
O (0.250, 0.807, 0.273)
O (0.564, 0.192, 0.512)
O (0.064, 0.692, 0.988)
O (0.250, 0.232, 0.857)
O (0.250, 0.434, 0.174)
O (0.250, 0.483, 0.909)
O (0.750, 0.833, 0.890)
O (0.750, 0.517, 0.091)
O (0.750, 0.934, 0.326)
O (0.063, 0.488, 0.377)
O (0.436, 0.692, 0.988)
O (0.250, 0.268, 0.357)
O (0.937, 0.988, 0.123)
O (0.250, 0.333, 0.610)
O (0.437, 0.488, 0.377)
O (0.250, 0.066, 0.674)
O (0.064, 0.808, 0.488)
O (0.563, 0.988, 0.123)
O (0.063, 0.012, 0.877)
O (0.936, 0.308, 0.012)
O (0.250, 0.167, 0.110)
O (0.564, 0.308, 0.012)
O (0.936, 0.192, 0.512)
O (0.750, 0.566, 0.826)
O (0.750, 0.732, 0.643)
O (0.250, 0.693, 0.773)
O (0.436, 0.808, 0.488)
O (0.250, 0.017, 0.409)
O (0.750, 0.768, 0.143)
O (0.750, 0.307, 0.227)
O (0.750, 0.667, 0.390)
O (0.937, 0.512, 0.623)
O (0.750, 0.193, 0.727)
V (0.250, 0.193, 0.533)
V (0.750, 0.807, 0.467)
V (0.250, 0.307, 0.033)
V (0.750, 0.693, 0.967)
P (0.750, 0.917, 0.178)
P (0.250, 0.864, 0.410)
P (0.750, 0.364, 0.090)
P (0.250, 0.636, 0.910)
P (0.250, 0.083, 0.822)
P (0.250, 0.417, 0.322)
P (0.750, 0.136, 0.590)
P (0.750, 0.583, 0.678)
Ca (0.750, 0.411, 0.440)
Ca (0.250, 0.589, 0.560)
Ca (0.250, 0.911, 0.060)
Ca (0.750, 0.089, 0.940)
Na (0.004, 0.866, 0.713)
Na (0.496, 0.866, 0.713)
Na (0.996, 0.134, 0.287)
Na (0.996, 0.366, 0.787)
Na (0.496, 0.634, 0.213)
Na (0.504, 0.134, 0.287)
Na (0.004, 0.634, 0.213)
Na (0.504, 0.366, 0.787)

---

Record 6
Entry from Alexandria: a PBEsol-optimized structure of LuVO4 (SCAN).

## Properties
relative energy among the computed polymorphs	0.000	eV/atom
uncorrected energy	-235.5	eV/cell
symmetry	No. 141

Cell lengths 5.807, 5.807, 5.807 Å; angles 106.31, 106.31, 115.99 degrees
Fractional positions:
O (0.490, 0.678, 0.812)
O (0.322, 0.510, 0.188)
O (0.322, 0.134, 0.812)
O (0.384, 0.072, 0.312)
O (0.866, 0.678, 0.188)
O (0.928, 0.240, 0.312)
O (0.760, 0.072, 0.688)
O (0.928, 0.616, 0.688)
V (0.500, 0.500, 0.000)
V (0.750, 0.250, 0.500)
Lu (0.000, 0.000, 0.000)
Lu (0.250, 0.750, 0.500)

---

Record 7
Entry from Alexandria: a PBEsol-optimized structure of Eu2Mn2O7 (SCAN).

## Properties
uncorrected energy	-432.7	eV/cell
symmetry	No. 227

Cell lengths 7.053, 7.053, 7.053 Å; angles 60.00, 60.00, 60.00 degrees
Fractional positions:
Eu (0.625, 0.125, 0.625)
Eu (0.125, 0.625, 0.625)
Eu (0.625, 0.625, 0.125)
Eu (0.625, 0.625, 0.625)
O (0.448, 0.052, 0.052)
O (0.802, 0.198, 0.802)
O (0.198, 0.802, 0.802)
O (0.448, 0.052, 0.448)
O (0.052, 0.052, 0.448)
O (0.052, 0.448, 0.448)
O (0.500, 0.500, 0.500)
O (0.802, 0.198, 0.198)
O (0.750, 0.750, 0.750)
O (0.198, 0.802, 0.198)
O (0.198, 0.198, 0.802)
O (0.448, 0.448, 0.052)
O (0.052, 0.448, 0.052)
O (0.802, 0.802, 0.198)
Mn (0.125, 0.125, 0.125)
Mn (0.125, 0.125, 0.625)
Mn (0.125, 0.625, 0.125)
Mn (0.625, 0.125, 0.125)

---

Record 8
Entry from Alexandria: a PBEsol-optimized structure of Y2Zn3 (SCAN).

## Properties
uncorrected energy	-98.1	eV/cell
energy of formation from the pure elements	-0.374	eV per atom
symmetry	No. 166

Cell lengths 4.489, 4.489, 6.503 Å; angles 69.81, 69.81, 60.00 degrees
Fractional positions:
Zn (0.000, 0.000, 0.000)
Zn (0.829, 0.829, 0.514)
Zn (0.171, 0.171, 0.486)
Y (0.408, 0.408, 0.776)
Y (0.592, 0.592, 0.224)

---

Record 9
Entry from Alexandria: a PBEsol-optimized structure of EuB2Ir2 (SCAN).

## Properties
uncorrected energy	-429.6	eV/cell
energy of formation from the pure elements	-0.807	eV per atom
symmetry	No. 70

Cell lengths 5.523, 5.523, 6.107 Å; angles 105.46, 105.46, 114.23 degrees
Fractional positions:
B (0.178, 0.822, 0.000)
B (0.822, 0.178, 0.000)
B (0.072, 0.928, 0.500)
B (0.428, 0.572, 0.500)
Eu (0.750, 0.250, 0.500)
Eu (0.500, 0.500, 0.000)
Ir (0.130, 0.130, 0.260)
Ir (0.870, 0.870, 0.740)
Ir (0.120, 0.620, 0.240)
Ir (0.380, 0.880, 0.760)

---

Record 10
Entry from Alexandria: a PBEsol-optimized structure of BaCoBr2 (SCAN).

## Properties
relative energy among the computed polymorphs	0.000	eV/atom
uncorrected energy	-99.5	eV/cell
symmetry	No. 71

Cell lengths 3.816, 5.633, 5.633 Å; angles 61.61, 70.20, 70.20 degrees
Fractional positions:
Br (0.320, 0.680, 0.680)
Br (0.680, 0.320, 0.320)
Co (0.000, 0.500, 0.500)
Ba (0.500, 0.000, 0.000)

---

Record 11
Entry from Alexandria: a PBEsol-optimized structure of YTlRh4 (SCAN).

## Properties
uncorrected energy	-237.7	eV/cell
energy of formation from the pure elements	-0.395	eV per atom
symmetry	No. 216

Cell lengths 5.221, 5.221, 5.221 Å; angles 60.00, 60.00, 60.00 degrees
Fractional positions:
Y (0.000, 0.000, 0.000)
Rh (0.873, 0.376, 0.376)
Rh (0.376, 0.376, 0.376)
Rh (0.376, 0.376, 0.873)
Rh (0.376, 0.873, 0.376)
Tl (0.750, 0.750, 0.750)

---

Record 12
Entry from Alexandria: a PBEsol-optimized structure of BaMnRh (SCAN).

## Properties
uncorrected energy	-90.9	eV/cell
energy of formation from the pure elements	0.238	eV per atom
symmetry	No. 216

Cell lengths 4.743, 4.743, 4.743 Å; angles 60.00, 60.00, 60.00 degrees
Fractional positions:
Ba (0.000, 0.000, 0.000)
Rh (0.250, 0.250, 0.250)
Mn (0.500, 0.500, 0.500)

---

no.,D(E_F) (states/eV/f.u.)
1,1.99
2,3.98
3,6.00
4,2.25
5,0.00
6,0.00
7,4.26
8,2.94
9,6.42
10,0.49
11,7.77
12,3.28